No. 1
The following is a DFT calculation (PBE-GGA) of crystalline Ta6AlS at its relaxed geometry.

CIF file:
```
data_Ta6AlS
_chemical_formula_sum 'Ta6 Al1 S1'
_cell_length_a 6.009
_cell_length_b 6.009
_cell_length_c 6.009
_cell_angle_alpha 59.20
_cell_angle_beta 59.20
_cell_angle_gamma 59.20
_symmetry_space_group_name_H-M 'P 1'
_symmetry_Int_Tables_number 1
loop_
_symmetry_equiv_pos_as_xyz
'x,y,z'
loop_
_atom_site_label
_atom_site_fract_x
_atom_site_fract_y
_atom_site_fract_z
Ta1 0.031 0.729 0.497
Ta2 0.271 0.503 0.969
Ta3 0.497 0.031 0.729
Ta4 0.503 0.969 0.271
Ta5 0.729 0.497 0.031
Ta6 0.969 0.271 0.503
Al1 0.000 0.000 0.000
S1 0.500 0.500 0.500
```

Results
energy relative to the elements, uncorrected: 224 meV per atom
E_tot: -9.649 eV/atom
magnetization: 0.0 μB/f.u.
mass density: 12.620 g/cm3



No. 2
The following is a DFT calculation (PBE-GGA) of crystalline LaTm2Ti at its relaxed geometry.

CIF file:
```
data_LaTm2Ti
_chemical_formula_sum 'La1 Tm2 Ti1'
_cell_length_a 3.369
_cell_length_b 3.369
_cell_length_c 9.926
_cell_angle_alpha 90.00
_cell_angle_beta 90.00
_cell_angle_gamma 90.00
_symmetry_space_group_name_H-M 'P 1'
_symmetry_Int_Tables_number 1
loop_
_symmetry_equiv_pos_as_xyz
'x,y,z'
loop_
_atom_site_label
_atom_site_fract_x
_atom_site_fract_y
_atom_site_fract_z
La1 0.000 0.000 0.000
Tm1 0.500 0.500 0.294
Tm2 0.500 0.500 0.706
Ti1 0.000 0.000 0.500
```

Results
E_tot: -5.298 eV/atom
E_form: 0.14 eV per atom
magnetization: 0.0 μB/f.u.
mass density: 7.732 g/cm3



No. 3
The following is a DFT calculation (PBE-GGA) of crystalline Pd2RhPb8 at its relaxed geometry.

CIF file:
```
data_Pd2RhPb8
_chemical_formula_sum 'Pd2 Rh1 Pb8'
_cell_length_a 8.917
_cell_length_b 8.917
_cell_length_c 7.165
_cell_angle_alpha 110.08
_cell_angle_beta 110.08
_cell_angle_gamma 31.69
_symmetry_space_group_name_H-M 'P 1'
_symmetry_Int_Tables_number 1
loop_
_symmetry_equiv_pos_as_xyz
'x,y,z'
loop_
_atom_site_label
_atom_site_fract_x
_atom_site_fract_y
_atom_site_fract_z
Pd1 0.173 0.173 0.181
Pd2 0.827 0.827 0.819
Rh1 0.500 0.500 0.500
Pb1 0.032 0.032 0.313
Pb2 0.207 0.207 0.821
Pb3 0.330 0.330 0.527
Pb4 0.414 0.414 0.061
Pb5 0.586 0.586 0.939
Pb6 0.670 0.670 0.473
Pb7 0.793 0.793 0.179
Pb8 0.968 0.968 0.687
```

Results
E_tot: -4.384 eV/atom
E_form: -0.08 eV per atom
magnetization: 0.0 μB/f.u.
mass density: 11.721 g/cm3



No. 4
The following is a DFT calculation (PBE-GGA) of crystalline Pr3Ge13Ir4 at its relaxed geometry.

CIF file:
```
data_Pr3Ge13Ir4
_chemical_formula_sum 'Pr6 Ge26 Ir8'
_cell_length_a 9.174
_cell_length_b 9.174
_cell_length_c 9.174
_cell_angle_alpha 90.00
_cell_angle_beta 90.00
_cell_angle_gamma 90.00
_symmetry_space_group_name_H-M 'P 1'
_symmetry_Int_Tables_number 1
loop_
_symmetry_equiv_pos_as_xyz
'x,y,z'
loop_
_atom_site_label
_atom_site_fract_x
_atom_site_fract_y
_atom_site_fract_z
Pr1 0.000 0.250 0.500
Pr2 0.000 0.750 0.500
Pr3 0.250 0.500 0.000
Pr4 0.500 0.000 0.250
Pr5 0.500 0.000 0.750
Pr6 0.750 0.500 0.000
Ge1 0.000 0.000 0.000
Ge2 0.000 0.303 0.146
Ge3 0.000 0.303 0.854
Ge4 0.000 0.697 0.146
Ge5 0.000 0.697 0.854
Ge6 0.146 0.000 0.303
Ge7 0.146 0.000 0.697
Ge8 0.197 0.500 0.354
Ge9 0.197 0.500 0.646
Ge10 0.303 0.146 0.000
Ge11 0.303 0.854 0.000
Ge12 0.354 0.197 0.500
Ge13 0.354 0.803 0.500
Ge14 0.500 0.354 0.197
Ge15 0.500 0.354 0.803
Ge16 0.500 0.500 0.500
Ge17 0.500 0.646 0.197
Ge18 0.500 0.646 0.803
Ge19 0.646 0.197 0.500
Ge20 0.646 0.803 0.500
Ge21 0.697 0.146 0.000
Ge22 0.697 0.854 0.000
Ge23 0.803 0.500 0.354
Ge24 0.803 0.500 0.646
Ge25 0.854 0.000 0.303
Ge26 0.854 0.000 0.697
Ir1 0.250 0.250 0.250
Ir2 0.250 0.250 0.750
Ir3 0.250 0.750 0.250
Ir4 0.250 0.750 0.750
Ir5 0.750 0.250 0.250
Ir6 0.750 0.250 0.750
Ir7 0.750 0.750 0.250
Ir8 0.750 0.750 0.750
```

Results
E_tot: -5.997 eV/atom
E_form: -0.51 eV per atom
magnetization: 0.0 μB/f.u.
mass density: 9.189 g/cm3



No. 5
The following is a DFT calculation (PBE-GGA) of crystalline KYCdRe2 at its relaxed geometry.

CIF file:
```
data_KYCdRe2
_chemical_formula_sum 'K1 Y1 Cd1 Re2'
_cell_length_a 5.151
_cell_length_b 5.151
_cell_length_c 5.464
_cell_angle_alpha 90.00
_cell_angle_beta 90.00
_cell_angle_gamma 90.00
_symmetry_space_group_name_H-M 'P 1'
_symmetry_Int_Tables_number 1
loop_
_symmetry_equiv_pos_as_xyz
'x,y,z'
loop_
_atom_site_label
_atom_site_fract_x
_atom_site_fract_y
_atom_site_fract_z
K1 0.000 0.000 0.000
Y1 0.500 0.500 0.000
Cd1 0.500 0.500 0.500
Re1 0.000 0.500 0.500
Re2 0.500 0.000 0.500
```

Results
E_tot: -4.593 eV/atom
E_form: 2.08 eV per atom
magnetization: 4.1 μB/f.u.
mass density: 7.018 g/cm3



No. 6
The following is a DFT calculation (PBE-GGA) of crystalline MnAsRhSe2 at its relaxed geometry.

CIF file:
```
data_MnAsRhSe2
_chemical_formula_sum 'Mn1 As1 Rh1 Se2'
_cell_length_a 4.673
_cell_length_b 4.673
_cell_length_c 4.557
_cell_angle_alpha 90.00
_cell_angle_beta 90.00
_cell_angle_gamma 90.00
_symmetry_space_group_name_H-M 'P 1'
_symmetry_Int_Tables_number 1
loop_
_symmetry_equiv_pos_as_xyz
'x,y,z'
loop_
_atom_site_label
_atom_site_fract_x
_atom_site_fract_y
_atom_site_fract_z
Mn1 0.000 0.000 0.000
As1 0.000 0.000 0.500
Rh1 0.500 0.500 0.500
Se1 0.000 0.500 0.000
Se2 0.500 0.000 0.000
```

Results
energy relative to the elements, uncorrected: 578 meV per atom
E_tot: -5.050 eV/atom
magnetization: 1.8 μB/f.u.
mass density: 6.519 g/cm3



No. 7
The following is a DFT calculation (PBE-GGA) of crystalline MnSi2Ag at its relaxed geometry.

CIF file:
```
data_MnSi2Ag
_chemical_formula_sum 'Mn1 Si2 Ag1'
_cell_length_a 4.744
_cell_length_b 4.744
_cell_length_c 4.537
_cell_angle_alpha 105.01
_cell_angle_beta 105.01
_cell_angle_gamma 36.48
_symmetry_space_group_name_H-M 'P 1'
_symmetry_Int_Tables_number 1
loop_
_symmetry_equiv_pos_as_xyz
'x,y,z'
loop_
_atom_site_label
_atom_site_fract_x
_atom_site_fract_y
_atom_site_fract_z
Mn1 0.000 0.000 0.000
Si1 0.467 0.467 0.430
Si2 0.733 0.733 0.105
Ag1 0.227 0.227 0.623
```

Results
energy relative to the elements, uncorrected: 186 meV per atom
E_tot: -5.530 eV/atom
magnetization: 2.6 μB/f.u.
mass density: 6.226 g/cm3



No. 8
The following is a DFT calculation (PBE-GGA) of crystalline NaH7Ru2 at its relaxed geometry.

CIF file:
```
data_NaH7Ru2
_chemical_formula_sum 'Na1 H7 Ru2'
_cell_length_a 5.314
_cell_length_b 5.314
_cell_length_c 3.181
_cell_angle_alpha 90.00
_cell_angle_beta 90.00
_cell_angle_gamma 118.83
_symmetry_space_group_name_H-M 'P 1'
_symmetry_Int_Tables_number 1
loop_
_symmetry_equiv_pos_as_xyz
'x,y,z'
loop_
_atom_site_label
_atom_site_fract_x
_atom_site_fract_y
_atom_site_fract_z
Na1 0.000 0.000 0.000
H1 0.051 0.338 0.500
H2 0.338 0.051 0.500
H3 0.377 0.623 0.000
H4 0.500 0.500 0.500
H5 0.623 0.377 0.000
H6 0.662 0.949 0.500
H7 0.949 0.662 0.500
Ru1 0.305 0.695 0.500
Ru2 0.695 0.305 0.500
```

Results
E_tot: -4.285 eV/atom
magnetization: 0.0 μB/f.u.
mass density: 4.900 g/cm3